[1]
VASP calculation (PBE-GGA) on a relaxed Be2Cr2In crystal.

As for the calculated density: 6.314 g/cm³. The total energy comes out at -56.79 eV for the cell shown. Its density of states at the Fermi level is 0.6066 states/eV per atom. The formation energy is 1.0 eV/f.u.

The space group is P4/mbm (No. 127) and the conventional cell measures 6.419, 6.419 and 3.024 Å, with angles of 90.00, 90.00 and 90.00 degrees. The asymmetric unit holds Be at (0.116, 0.384, 0.000), Cr at (0.170, 0.670, 0.500) and In at (0.000, 0.000, 0.000).

***

[2]
VASP calculation (PBE-GGA) on a relaxed Sn2Au7 crystal.

As for the calculated density: 13.974 g/cm³. The total energy comes out at -184.54 eV for the cell shown. Its density of states at the Fermi level is 0.3080 states/eV per atom. The formation energy is 0.2 eV/f.u.

The space group is R-3m (No. 166, hexagonal axes) and the conventional cell measures 5.6204, 5.6204 and 42.1218 Å, with angles of 90.00, 90.00 and 120.00 degrees. The asymmetric unit holds Sn at (0.0000, 0.0000, 0.0511), Sn at (0.0000, 0.0000, 0.1391), Au at (0.0000, 0.0000, 0.2773), Au at (0.0000, 0.0000, 0.3892), Au at (0.0000, 0.0000, 0.5000), Au at (0.0000, 0.5000, 0.0000) and Au at (0.0036, 0.5018, 0.8875).

***

[3]
VASP calculation (PBE-GGA) on a relaxed Hf2MgH2 crystal.

As for the calculated density: 9.251 g/cm³. The total energy comes out at -58.16 eV for the cell shown. Its density of states at the Fermi level is 0.8563 states/eV per atom.

The space group is I4/mmm (No. 139) and the conventional cell measures 3.725, 3.725 and 9.918 Å, with angles of 90.00, 90.00 and 90.00 degrees. The asymmetric unit holds Hf at (0.000, 0.000, 0.162), Mg at (0.000, 0.000, 0.500) and H at (0.000, 0.500, 0.250).

***

[4]
VASP calculation (PBE-GGA) on a relaxed HgI2Br2 crystal.

As for the calculated density: 4.693 g/cm³. The total energy comes out at -11.30 eV for the cell shown. Its density of states at the Fermi level is 1.7103 states/eV per atom.

The space group is P4/mbm (No. 127) and the conventional cell measures 9.969, 9.969 and 4.373 Å, with angles of 90.00, 90.00 and 90.00 degrees. The asymmetric unit holds Hg at (0.000, 0.000, 0.000), I at (0.097, 0.403, 0.000) and Br at (0.248, 0.252, 0.500).

***

[5]
VASP calculation (PBE-GGA) on a relaxed La2YCo crystal.

As for the calculated density: 6.334 g/cm³. The total energy comes out at -47.11 eV for the cell shown. Its density of states at the Fermi level is 0.6124 states/eV per atom. The formation energy is -0.1 eV/f.u.

The space group is Immm (No. 71) and the conventional cell measures 3.688, 5.654 and 10.703 Å, with angles of 90.00, 90.00 and 90.00 degrees. The asymmetric unit holds La at (0.000, 0.000, 0.187), Y at (0.000, 0.500, 0.000) and Co at (0.000, 0.500, 0.500).

***

[6]
VASP calculation (PBE-GGA) on a relaxed NdSi2Pt2 crystal.

As for the calculated density: 10.632 g/cm³. The total energy comes out at -65.81 eV for the cell shown. Its density of states at the Fermi level is 0.4739 states/eV per atom.

The space group is I4/mmm (No. 139) and the conventional cell measures 4.303, 4.303 and 9.961 Å, with angles of 90.00, 90.00 and 90.00 degrees. The asymmetric unit holds Nd at (0.000, 0.000, 0.000), Si at (0.000, 0.500, 0.250) and Pt at (0.000, 0.000, 0.363).

***

[7]
VASP calculation (PBE-GGA) on a relaxed Y2MgTe crystal.

As for the calculated density: 5.095 g/cm³. The total energy comes out at -20.13 eV for the cell shown. Its density of states at the Fermi level is 0.8087 states/eV per atom.

The space group is P4/mmm (No. 123) and the conventional cell measures 3.925, 3.925 and 6.977 Å, with angles of 90.00, 90.00 and 90.00 degrees. The asymmetric unit holds Y at (0.000, 0.000, 0.249), Mg at (0.500, 0.500, 0.500) and Te at (0.500, 0.500, 0.000).

***

[8]
VASP calculation (PBE-GGA) on a relaxed LiAg3Hg2 crystal.

As for the calculated density: 10.719 g/cm³. The total energy comes out at -46.42 eV for the cell shown. Its density of states at the Fermi level is 0.3461 states/eV per atom. The formation energy is -0.5 eV/f.u.

The space group is C2/c (No. 15) and the conventional cell measures 6.036, 8.272 and 9.483 Å, with angles of 90.00, 106.73 and 90.00 degrees. The asymmetric unit holds Li at (0.000, 0.127, 0.250), Ag at (0.000, 0.376, 0.750), Ag at (0.165, 0.374, 0.080) and Hg at (0.171, 0.124, 0.592).

***

[9]
VASP calculation (PBE-GGA) on a relaxed RbAg3Hg crystal.

As for the calculated density: 6.326 g/cm³. The total energy comes out at -8.69 eV for the cell shown. Its density of states at the Fermi level is 0.3237 states/eV per atom. The formation energy is 1.1 eV/f.u.

The space group is Pm-3m (No. 221) and the conventional cell measures 5.429, 5.429 and 5.429 Å, with angles of 90.00, 90.00 and 90.00 degrees. The asymmetric unit holds Rb at (0.000, 0.000, 0.000), Ag at (0.000, 0.500, 0.500) and Hg at (0.500, 0.500, 0.500).

***

[10]
VASP calculation (PBE-GGA) on a relaxed CaMg3F crystal.

As for the calculated density: 1.928 g/cm³. The total energy comes out at -12.41 eV for the cell shown. Its density of states at the Fermi level is 0.4759 states/eV per atom.

The space group is Pm-3m (No. 221) and the conventional cell measures 4.845, 4.845 and 4.845 Å, with angles of 90.00, 90.00 and 90.00 degrees. The asymmetric unit holds Ca at (0.000, 0.000, 0.000), Mg at (0.000, 0.500, 0.500) and F at (0.500, 0.500, 0.500).